First-principles (GGA-PBE) data for AcAg4Hg8 after structural relaxation, as listed in Alexandria.

Cell lengths 5.682, 7.818, 7.818 Å; angles 82.41, 68.69, 68.69 degrees
Fractional positions:
Ac: 0.000 0.000 0.000
Ag: 0.000 0.000 0.500
Ag: 0.500 0.000 0.500
Ag: 0.000 0.500 0.000
Ag: 0.500 0.500 0.000
Hg: 0.000 0.346 0.654
Hg: 0.000 0.654 0.346
Hg: 0.346 0.654 0.654
Hg: 0.654 0.346 0.346
Hg: 0.500 0.786 0.214
Hg: 0.500 0.214 0.786
Hg: 0.286 0.214 0.214
Hg: 0.714 0.786 0.786

Summary:
ΔE_f = -0.076 eV/atom
Symmetry = I4/mmm, No. 139
N(E_F) = 6.666 states/eV per cell
Uncorrected energy = -0.053 hartree per atom

First-principles (GGA-PBE) data for ZrCrAgS4 after structural relaxation, as listed in Alexandria.

Cell lengths 3.629, 11.265, 13.319 Å; angles 90.00, 90.00, 90.00 degrees
Fractional positions:
Zr: 0.000 0.836 0.091
Zr: 0.500 0.164 0.591
Zr: 0.500 0.645 0.403
Zr: 0.000 0.355 0.903
Cr: 0.500 0.724 0.884
Cr: 0.000 0.276 0.384
Cr: 0.000 0.804 0.596
Cr: 0.500 0.196 0.096
Ag: 0.500 0.510 0.725
Ag: 0.000 0.970 0.317
Ag: 0.000 0.490 0.225
Ag: 0.500 0.030 0.817
S: 0.000 0.712 0.273
S: 0.500 0.743 0.703
S: 0.500 0.288 0.773
S: 0.000 0.257 0.203
S: 0.500 0.685 0.061
S: 0.000 0.867 0.904
S: 0.000 0.315 0.561
S: 0.500 0.133 0.404
S: 0.000 0.606 0.532
S: 0.500 0.852 0.481
S: 0.500 0.394 0.032
S: 0.000 0.148 0.981
S: 0.000 0.581 0.872
S: 0.500 0.984 0.157
S: 0.500 0.419 0.372
S: 0.000 0.016 0.657

Summary:
Symmetry = Pmn2_1, No. 31
N(E_F) = 0.573 states/eV per cell
Uncorrected energy = -0.227 hartree per atom
E_form (uncorrected) = -5.75 eV/f.u.

First-principles (GGA-PBE) data for Ca2DyTcO6 after structural relaxation, as listed in Alexandria.

Cell lengths 4.917, 5.562, 5.562 Å; angles 90.00, 90.00, 90.00 degrees
Fractional positions:
Ca: 0.989 0.500 0.000
Ca: 0.989 0.000 0.500
Dy: 0.592 0.500 0.500
Tc: 0.577 0.000 0.000
O: 0.729 0.230 0.230
O: 0.729 0.230 0.770
O: 0.159 0.500 0.500
O: 0.224 0.000 0.000
O: 0.729 0.770 0.770
O: 0.729 0.770 0.230

Summary:
Symmetry = P4mm, No. 99
Uncorrected energy = -0.269 hartree per atom
E_form (uncorrected) = -24.55 eV/f.u.

First-principles (GGA-PBE) data for PmH3Pd4 after structural relaxation, as listed in Alexandria.

Cell lengths 5.316, 5.735, 7.926 Å; angles 109.16, 90.00, 117.61 degrees
Fractional positions:
Pm: 0.658 0.997 0.727
Pm: 0.340 0.997 0.227
H: 0.661 0.402 0.982
H: 0.741 0.402 0.482
H: 0.244 0.577 0.481
H: 0.333 0.577 0.981
H: 0.983 0.843 0.858
H: 0.860 0.843 0.358
Pd: 0.251 0.207 0.929
Pd: 0.957 0.207 0.429
Pd: 0.502 0.377 0.634
Pd: 0.875 0.377 0.134
Pd: 0.131 0.599 0.815
Pd: 0.468 0.599 0.315
Pd: 0.037 0.777 0.525
Pd: 0.740 0.777 0.025

Summary:
Symmetry = Cc, No. 9
N(E_F) = 4.325 states/eV per cell
Uncorrected energy = -0.179 hartree per atom

First-principles (GGA-PBE) data for LiMgReTc after structural relaxation, as listed in Alexandria.

Cell lengths 4.341, 4.341, 4.341 Å; angles 60.00, 60.00, 60.00 degrees
Fractional positions:
Re: 0.250 0.250 0.250
Mg: 0.750 0.750 0.750
Tc: 0.000 0.000 0.000
Li: 0.500 0.500 0.500

Summary:
ΔE_f = 0.125 eV/atom
Symmetry = F-43m, No. 216
N(E_F) = 2.051 states/eV per cell
Uncorrected energy = -0.237 hartree per atom

First-principles (GGA-PBE) data for Cs2InSbCl6 after structural relaxation, as listed in Alexandria.

Cell lengths 8.092, 8.094, 7.933 Å; angles 59.34, 59.34, 60.00 degrees
Fractional positions:
Cs: 0.563 0.563 0.310
Cs: 0.068 0.068 0.794
In: 0.816 0.816 0.552
Sb: 0.316 0.316 0.052
Cl: 0.544 0.134 0.291
Cl: 0.134 0.031 0.291
Cl: 0.031 0.544 0.291
Cl: 0.498 0.602 0.812
Cl: 0.602 0.088 0.812
Cl: 0.088 0.498 0.812

Summary:
Symmetry = P1, No. 1
Uncorrected energy = -0.122 hartree per atom
E_form (uncorrected) = -13.67 eV/f.u.

First-principles (GGA-PBE) data for PmY4Ho2 after structural relaxation, as listed in Alexandria.

Cell lengths 6.047, 6.639, 11.736 Å; angles 90.00, 105.98, 90.00 degrees
Fractional positions:
Pm: 0.174 0.750 0.135
Pm: 0.826 0.250 0.865
Y: 0.632 0.493 0.290
Y: 0.978 0.750 0.837
Y: 0.022 0.250 0.163
Y: 0.632 0.007 0.290
Y: 0.853 0.250 0.580
Y: 0.368 0.993 0.710
Y: 0.368 0.507 0.710
Y: 0.147 0.750 0.420
Ho: 0.609 0.750 0.010
Ho: 0.391 0.250 0.990
Ho: 0.283 0.250 0.448
Ho: 0.717 0.750 0.552

Summary:
ΔE_f = 0.127 eV/atom
Symmetry = P2_1/m, No. 11
N(E_F) = 24.285 states/eV per cell
Uncorrected energy = -0.204 hartree per atom

First-principles (GGA-PBE) data for KCrSe2Br after structural relaxation, as listed in Alexandria.

Cell lengths 4.858, 4.858, 5.645 Å; angles 90.00, 90.00, 90.00 degrees
Fractional positions:
Cr: 0.000 0.000 0.000
K: 0.500 0.500 0.500
Se: 0.000 0.500 0.000
Se: 0.500 0.000 0.000
Br: 0.000 0.000 0.500

Summary:
Symmetry = P4/mmm, No. 123
N(E_F) = 3.533 states/eV per cell
Uncorrected energy = -0.165 hartree per atom
E_form (uncorrected) = -3.12 eV/f.u.

First-principles (GGA-PBE) data for Nd4SmEr10 after structural relaxation, as listed in Alexandria.

Cell lengths 7.977, 8.884, 8.884 Å; angles 78.37, 63.32, 63.32 degrees
Fractional positions:
Nd: 0.228 0.000 0.545
Nd: 0.773 0.455 0.000
Nd: 0.227 0.545 0.000
Nd: 0.772 0.000 0.455
Sm: 0.000 0.000 0.000
Er: 0.250 0.500 0.500
Er: 0.705 0.208 0.792
Er: 0.087 0.208 0.208
Er: 0.503 0.792 0.792
Er: 0.705 0.792 0.208
Er: 0.295 0.792 0.208
Er: 0.750 0.500 0.500
Er: 0.295 0.208 0.792
Er: 0.497 0.208 0.208
Er: 0.913 0.792 0.792

Summary:
ΔE_f = 0.273 eV/atom
Symmetry = I4/mmm, No. 139
N(E_F) = 19.664 states/eV per cell
Uncorrected energy = -0.160 hartree per atom

First-principles (GGA-PBE) data for Rb2AlGa after structural relaxation, as listed in Alexandria.

Cell lengths 13.665, 13.665, 9.984 Å; angles 46.82, 46.82, 90.00 degrees
Fractional positions:
Ga: 0.000 0.000 0.000
Ga: 0.750 0.250 0.500
Rb: 0.827 0.125 0.250
Rb: 0.923 0.625 0.250
Rb: 0.375 0.173 0.750
Rb: 0.875 0.077 0.750
Al: 0.500 0.500 0.000
Al: 0.250 0.750 0.500

Summary:
ΔE_f = 0.223 eV/atom
Symmetry = I-42d, No. 122
N(E_F) = 5.201 states/eV per cell
Uncorrected energy = -0.072 hartree per atom

First-principles (GGA-PBE) data for FeHg2Pb after structural relaxation, as listed in Alexandria.

Cell lengths 5.058, 5.058, 5.058 Å; angles 60.00, 60.00, 60.00 degrees
Fractional positions:
Fe: 0.500 0.500 0.500
Hg: 0.000 0.000 0.000
Hg: 0.250 0.250 0.250
Pb: 0.750 0.750 0.750

Summary:
ΔE_f = 0.548 eV/atom
Symmetry = F-43m, No. 216
N(E_F) = 4.580 states/eV per cell
Uncorrected energy = -0.097 hartree per atom

First-principles (GGA-PBE) data for DyScTc4 after structural relaxation, as listed in Alexandria.

Cell lengths 5.333, 5.333, 5.333 Å; angles 60.00, 60.00, 60.00 degrees
Fractional positions:
Sc: 0.250 0.250 0.250
Tc: 0.625 0.625 0.126
Tc: 0.625 0.126 0.625
Tc: 0.625 0.625 0.625
Tc: 0.126 0.625 0.625
Dy: 0.000 0.000 0.000

Summary:
ΔE_f = -0.190 eV/atom
Symmetry = F-43m, No. 216
N(E_F) = 8.232 states/eV per cell
Uncorrected energy = -0.328 hartree per atom

First-principles (GGA-PBE) data for HfSc4Ru after structural relaxation, as listed in Alexandria.

Cell lengths 3.234, 3.234, 12.493 Å; angles 90.00, 90.00, 90.00 degrees
Fractional positions:
Hf: 0.000 0.000 0.000
Sc: 0.500 0.500 0.828
Sc: 0.500 0.500 0.172
Sc: 0.000 0.000 0.622
Sc: 0.000 0.000 0.378
Ru: 0.500 0.500 0.500

Summary:
ΔE_f = -0.219 eV/atom
Symmetry = P4/mmm, No. 123
N(E_F) = 5.922 states/eV per cell
Uncorrected energy = -0.281 hartree per atom

First-principles (GGA-PBE) data for SrEuZrTiO6 after structural relaxation, as listed in Alexandria.

Cell lengths 5.746, 5.746, 5.746 Å; angles 60.00, 60.00, 60.00 degrees
Fractional positions:
Sr: 0.750 0.750 0.750
Eu: 0.250 0.250 0.250
Zr: 0.500 0.500 0.500
Ti: 0.000 0.000 0.000
O: 0.242 0.758 0.242
O: 0.758 0.242 0.758
O: 0.242 0.758 0.758
O: 0.758 0.242 0.242
O: 0.242 0.242 0.758
O: 0.758 0.758 0.242

Summary:
Symmetry = F-43m, No. 216
N(E_F) = 12.884 states/eV per cell
Uncorrected energy = -0.329 hartree per atom
E_form (uncorrected) = -31.40 eV/f.u.

First-principles (GGA-PBE) data for GdScCu4 after structural relaxation, as listed in Alexandria.

Cell lengths 5.179, 5.179, 5.179 Å; angles 60.00, 60.00, 60.00 degrees
Fractional positions:
Sc: 0.000 0.000 0.000
Gd: 0.250 0.250 0.250
Cu: 0.626 0.626 0.122
Cu: 0.626 0.122 0.626
Cu: 0.626 0.626 0.626
Cu: 0.122 0.626 0.626

Summary:
ΔE_f = -0.171 eV/atom
Symmetry = F-43m, No. 216
N(E_F) = 4.678 states/eV per cell
Uncorrected energy = -0.232 hartree per atom

First-principles (GGA-PBE) data for HoCdGeAu after structural relaxation, as listed in Alexandria.

Cell lengths 4.933, 4.933, 4.933 Å; angles 60.00, 60.00, 60.00 degrees
Fractional positions:
Ge: 0.250 0.250 0.250
Au: 0.750 0.750 0.750
Ho: 0.000 0.000 0.000
Cd: 0.500 0.500 0.500

Summary:
ΔE_f = -0.493 eV/atom
Symmetry = F-43m, No. 216
N(E_F) = 0.779 states/eV per cell
Uncorrected energy = -0.141 hartree per atom

First-principles (GGA-PBE) data for Sr2Sc2Zn after structural relaxation, as listed in Alexandria.

Cell lengths 7.452, 7.452, 5.850 Å; angles 90.00, 90.00, 90.00 degrees
Fractional positions:
Sc: 0.351 0.851 0.000
Sc: 0.851 0.649 0.000
Sc: 0.649 0.149 0.000
Sc: 0.149 0.351 0.000
Sr: 0.174 0.674 0.500
Sr: 0.674 0.826 0.500
Sr: 0.826 0.326 0.500
Sr: 0.326 0.174 0.500
Zn: 0.000 0.000 0.000
Zn: 0.500 0.500 0.000

Summary:
ΔE_f = 0.234 eV/atom
Symmetry = P4/mbm, No. 127
N(E_F) = 10.745 states/eV per cell
Uncorrected energy = -0.119 hartree per atom

First-principles (GGA-PBE) data for CsYAs2 after structural relaxation, as listed in Alexandria.

Cell lengths 5.429, 5.429, 5.429 Å; angles 60.00, 60.00, 60.00 degrees
Fractional positions:
Cs: 0.500 0.500 0.500
Y: 0.000 0.000 0.000
As: 0.250 0.250 0.250
As: 0.750 0.750 0.750

Summary:
ΔE_f = -0.172 eV/atom
Symmetry = Fm-3m, No. 225
N(E_F) = 5.585 states/eV per cell
Uncorrected energy = -0.159 hartree per atom

First-principles (GGA-PBE) data for SrZn2InPd after structural relaxation, as listed in Alexandria.

Cell lengths 4.366, 4.389, 6.633 Å; angles 109.32, 109.22, 90.00 degrees
Fractional positions:
Sr: 0.440 0.440 0.880
Zn: 0.700 0.200 0.399
Zn: 0.048 0.048 0.097
In: 0.193 0.693 0.386
Pd: 0.831 0.831 0.662

Summary:
ΔE_f = -0.411 eV/atom
Symmetry = Imm2, No. 44
N(E_F) = 2.834 states/eV per cell
Uncorrected energy = -0.104 hartree per atom

First-principles (GGA-PBE) data for MgRh3C after structural relaxation, as listed in Alexandria.

Cell lengths 5.650, 5.650, 5.280 Å; angles 90.00, 90.00, 123.40 degrees
Fractional positions:
Mg: 0.567 0.433 0.250
Mg: 0.433 0.567 0.750
Rh: 0.054 0.449 0.250
Rh: 0.551 0.946 0.250
Rh: 0.449 0.054 0.750
Rh: 0.946 0.551 0.750
Rh: 0.000 0.000 0.000
Rh: 0.000 0.000 0.500
C: 0.158 0.842 0.250
C: 0.842 0.158 0.750

Summary:
ΔE_f = 0.139 eV/atom
Symmetry = Cmcm, No. 63
N(E_F) = 9.282 states/eV per cell
Uncorrected energy = -0.236 hartree per atom